# 1
! GGA-PBE SrLiBe, relaxed; values from VASP
! Energy relative to the lowest polymorph listed for this composition = 0.79 eV per formula unit
&SYSTEM
  ibrav = 0, nat = 3, ntyp = 3
/
ATOMIC_SPECIES
Li 6.94 Li.upf
Be 9.01 Be.upf
Sr 87.62 Sr.upf
CELL_PARAMETERS angstrom
-2.997 -1.970 3.317
-0.671 -4.838 0.118
1.829 -2.630 3.688
ATOMIC_POSITIONS crystal
Li 0.750 0.750 0.750
Be 0.500 0.500 0.500
Sr 0.000 0.000 0.000

---

# 2
First-principles (GGA-PBE) data for a relaxed structure of Sr2LiTiBe, as listed in Alexandria. Values from VASP.

```
&SYSTEM
  ibrav = 0, nat = 5, ntyp = 4
/
ATOMIC_SPECIES
Be 9.01 Be.upf
Li 6.94 Li.upf
Sr 87.62 Sr.upf
Ti 47.87 Ti.upf
CELL_PARAMETERS angstrom
6.201 0.000 0.000
0.000 4.577 0.000
0.000 0.000 6.201
ATOMIC_POSITIONS crystal
Be 0.000 0.500 0.000
Li 0.500 0.500 0.500
Sr 0.500 0.000 0.000
Sr 0.000 0.000 0.500
Ti 0.000 0.000 0.000
```

---

# 3
First-principles (GGA-PBE) data for a relaxed structure of SrLiBeZn2, as listed in Alexandria. Values from VASP.

```
&SYSTEM
  ibrav = 0, nat = 5, ntyp = 4
/
ATOMIC_SPECIES
Be 9.01 Be.upf
Li 6.94 Li.upf
Zn 65.41 Zn.upf
Sr 87.62 Sr.upf
CELL_PARAMETERS angstrom
4.533 0.000 0.000
0.000 4.533 0.000
0.000 0.000 4.806
ATOMIC_POSITIONS crystal
Be 0.000 0.000 0.000
Li 0.000 0.000 0.500
Zn 0.000 0.500 0.000
Sr 0.500 0.500 0.500
Zn 0.500 0.000 0.000
```

---

# 4
First-principles (GGA-PBE) data for a relaxed structure of SrLi2BeZn, as listed in Alexandria. Values from VASP.

```
&SYSTEM
  ibrav = 0, nat = 5, ntyp = 4
/
ATOMIC_SPECIES
Li 6.94 Li.upf
Zn 65.41 Zn.upf
Be 9.01 Be.upf
Sr 87.62 Sr.upf
CELL_PARAMETERS angstrom
4.833 0.000 0.000
0.000 4.833 0.000
0.000 0.000 4.498
ATOMIC_POSITIONS crystal
Li 0.000 0.500 0.000
Zn 0.000 0.000 0.500
Be 0.000 0.000 0.000
Sr 0.500 0.500 0.500
Li 0.500 0.000 0.000
```

---

# 5
First-principles (GGA-PBE) data for a relaxed structure of LiTa2Be, as listed in Alexandria. Values from VASP.

```
&SYSTEM
  ibrav = 0, nat = 4, ntyp = 3
/
ATOMIC_SPECIES
Be 9.01 Be.upf
Ta 180.95 Ta.upf
Li 6.94 Li.upf
CELL_PARAMETERS angstrom
-1.435 2.631 0.937
-3.354 -0.897 -2.618
-2.001 -2.282 3.345
ATOMIC_POSITIONS crystal
Be 0.500 0.000 0.500
Ta 0.500 0.500 0.000
Li 0.000 0.500 0.500
Ta 0.000 0.000 0.000
```

---

# 6
First-principles (GGA-PBE) data for a relaxed structure of LiTa2Be, as listed in Alexandria. Values from VASP.

```
&SYSTEM
  ibrav = 0, nat = 4, ntyp = 3
/
ATOMIC_SPECIES
Ta 180.95 Ta.upf
Be 9.01 Be.upf
Li 6.94 Li.upf
CELL_PARAMETERS angstrom
-1.454 3.660 -2.244
-2.398 -0.181 1.259
0.763 2.882 4.206
ATOMIC_POSITIONS crystal
Ta 0.000 0.018 0.010
Be 0.500 0.250 0.250
Ta 0.000 0.482 0.490
Li 0.500 0.750 0.750
```

---

# 7
First-principles (GGA-PBE) data for a relaxed structure of Li4TaBe, as listed in Alexandria. Values from VASP.

```
&SYSTEM
  ibrav = 0, nat = 6, ntyp = 3
/
ATOMIC_SPECIES
Li 6.94 Li.upf
Ta 180.95 Ta.upf
Be 9.01 Be.upf
CELL_PARAMETERS angstrom
0.000 3.483 3.483
3.483 0.000 3.483
3.483 3.483 0.000
ATOMIC_POSITIONS crystal
Li 0.374 0.878 0.374
Li 0.374 0.374 0.374
Ta 0.750 0.750 0.750
Li 0.878 0.374 0.374
Be 0.000 0.000 0.000
Li 0.374 0.374 0.878
```

---

# 8
First-principles (GGA-PBE) data for a relaxed structure of LiTa2Be, as listed in Alexandria. Values from VASP.

```
&SYSTEM
  ibrav = 0, nat = 4, ntyp = 3
/
ATOMIC_SPECIES
Be 9.01 Be.upf
Li 6.94 Li.upf
Ta 180.95 Ta.upf
CELL_PARAMETERS angstrom
-3.546 -2.680 2.679
-1.006 -3.950 3.212
-0.384 1.067 4.376
ATOMIC_POSITIONS crystal
Be 0.516 0.516 0.483
Li 0.215 0.215 0.285
Ta 0.995 0.995 0.005
Ta 0.774 0.774 0.727
```

---

Ρ in Mg/m³, matching the order above: 2.09; 2.26; 3.94; 2.78; 10.17; 10.12; 4.28; 10.82
VASP energy in eV/atom, matching the order above: -1.78; -2.54; -1.97; -2.01; -6.91; -6.92; -3.24; -7.06